5
Lattice="5.760 0.000 0.000 0.000 5.760 0.000 0.000 0.000 5.789" Properties=species:S:1:pos:R:3 comment="PBE-GGA YNbSb2I, relaxed" raw_formation_energy_mev_per_atom=807 relative_energy_ev_per_atom=0.610 crystal_system=tetragonal dos_ef_per_ev_cell=6.3 space_group="P4/mmm (123)" energy_ev_per_cell=-22.29 pbc="T T T"
I 0.000 0.000 2.894
Sb 0.000 2.880 0.000
Sb 2.880 0.000 0.000
Nb 2.880 2.880 2.894
Y 0.000 0.000 0.000